(1)
Here is a relaxed Re3Te7I7 crystal from Alexandria. Energies are from PBE.

a = 11.327 Å, b = 11.257 Å, c = 12.322 Å
α = 86.23°, β = 106.31°, γ = 117.18°
Element x y z (fractional)
Re (0.932, 0.114, 0.911)
Re (0.068, 0.886, 0.089)
Re (0.847, 0.847, 0.908)
Re (0.153, 0.153, 0.092)
Re (0.108, 0.016, 0.899)
Re (0.892, 0.984, 0.101)
Te (0.833, 0.280, 0.796)
Te (0.167, 0.720, 0.204)
Te (0.638, 0.615, 0.803)
Te (0.362, 0.385, 0.197)
Te (0.283, 0.039, 0.778)
Te (0.717, 0.961, 0.222)
Te (0.672, 0.945, 0.918)
Te (0.328, 0.055, 0.082)
Te (0.022, 0.747, 0.896)
Te (0.978, 0.253, 0.104)
Te (0.889, 0.977, 0.718)
Te (0.111, 0.023, 0.282)
Te (0.192, 0.283, 0.899)
Te (0.808, 0.717, 0.101)
I (0.405, 0.886, 0.374)
I (0.595, 0.114, 0.626)
I (0.007, 0.612, 0.371)
I (0.993, 0.388, 0.629)
I (0.345, 0.710, 0.052)
I (0.655, 0.290, 0.948)
I (0.703, 0.552, 0.617)
I (0.297, 0.448, 0.383)
I (0.145, 0.829, 0.605)
I (0.855, 0.171, 0.395)
I (0.286, 0.231, 0.623)
I (0.714, 0.769, 0.377)
I (0.417, 0.664, 0.680)
I (0.583, 0.336, 0.320)

## Properties
Its crystal system is triclinic. Its final energy is -145.37 eV for the cell shown. The value obtained for the raw formation energy is -2.497 eV per formula unit. As for the mass density: 5.81 g/cm³.

(2)
Here is a relaxed ReTeI3 crystal from Alexandria. Energies are from PBE.

a = 6.082 Å, b = 6.082 Å, c = 6.082 Å
α = 90.00°, β = 90.00°, γ = 90.00°
Site moments in Bohr magnetons follow the coordinates.
Element x y z (fractional)
I (0.000, 0.500, 0.000)  0.08
I (0.000, 0.000, 0.500)  0.06
I (0.500, 0.000, 0.000)  0.04
Re (0.500, 0.500, 0.500)  4.43
Te (0.000, 0.000, 0.000)  0.00

## Properties
Its crystal system is cubic. Its final energy is -13.72 eV for the cell shown. The calculation puts the density of states at the Fermi level at 1.809 states/eV/f.u. The value obtained for the raw formation energy is 6.517 eV per formula unit. As for the mass density: 5.13 g/cm³. The energy above the most stable polymorph in this dataset comes out at 518.3 meV per atom.